Density functional theory data (GGA-PBE) for a relaxed structure of Ag2CO3.

Total magnetization: 0.0 μB per cell
E_form (uncorrected): -0.721 eV per atom

a b c (Å): 5.7752 5.7752 6.6979
angles (deg): 71.18 71.18 58.55
Closest atoms and distances in Å follow each position.
Element x y z (fractional)
Ag (0.3569, 0.2840, 0.4242)  3 O 2.20-2.44
Ag (0.2840, 0.3569, 0.9242)  3 O 2.20-2.44
Ag (0.7160, 0.6431, 0.0758)  3 O 2.20-2.44
Ag (0.6431, 0.7160, 0.5758)  3 O 2.20-2.44
C (0.9955, 0.0045, 0.7500)  3 O 1.29-1.31
C (0.0045, 0.9955, 0.2500)  3 O 1.29-1.31
O (0.7720, 0.2280, 0.2500)  1 C 1.31
O (0.2280, 0.7720, 0.7500)  1 C 1.31
O (0.0029, 0.7645, 0.3539)  1 C 1.29
O (0.2355, 0.9971, 0.1461)  1 C 1.29
O (0.7645, 0.0029, 0.8539)  1 C 1.29
O (0.9971, 0.2355, 0.6461)  1 C 1.29